Record 1
Material: Pr6InAg3
Method: DFT, PBE
State: relaxed

Cell: 9.8886 5.2393 11.5264 Å, 90.00 102.49 90.00°
Closest atoms and distances in Å follow each position.
Element x y z (fractional)
Pr  0.0392  0.2500  0.4051  7 Ag 3.23-3.54, 2 Pr 3.60
Pr  0.1333  0.7500  0.1900  5 Ag 3.15-3.33, 1 In 3.38, 2 Pr 3.48
Pr  0.2444  0.2500  0.9872  4 Ag 3.28-3.36, 3 In 3.42-3.52, 3 Pr 3.45-3.61
Pr  0.3331  0.7500  0.8013  4 Ag 3.32-3.68, 3 In 3.42-3.54, 3 Pr 3.43-3.61
Pr  0.3601  0.2500  0.2921  8 Pr 3.38-3.68, 2 In 3.53, 2 Ag 3.62
Pr  0.4101  0.2500  0.5914  4 Ag 3.16-3.49, 3 Pr 3.38-3.54, 1 In 3.38
Pr  0.5899  0.7500  0.4086  4 Ag 3.16-3.49, 3 Pr 3.38-3.54, 1 In 3.38
Pr  0.6399  0.7500  0.7079  8 Pr 3.38-3.68, 2 In 3.53, 2 Ag 3.62
Pr  0.6669  0.2500  0.1987  4 Ag 3.32-3.68, 3 In 3.42-3.54, 3 Pr 3.43-3.61
Pr  0.7556  0.7500  0.0128  4 Ag 3.28-3.36, 3 In 3.42-3.52, 3 Pr 3.45-3.61
Pr  0.8667  0.2500  0.8100  5 Ag 3.15-3.33, 1 In 3.38, 2 Pr 3.48
Pr  0.9608  0.7500  0.5949  7 Ag 3.23-3.54, 2 Pr 3.60
In  0.4451  0.7500  0.1149  10 Pr 3.38-3.54
In  0.5549  0.2500  0.8851  10 Pr 3.38-3.54
Ag  0.0365  0.7500  0.8949  8 Pr 3.15-3.38
Ag  0.1384  0.2500  0.6973  8 Pr 3.18-3.32
Ag  0.2610  0.7500  0.4741  7 Pr 3.16-3.54
Ag  0.7390  0.2500  0.5259  7 Pr 3.16-3.54
Ag  0.8616  0.7500  0.3027  8 Pr 3.18-3.32
Ag  0.9635  0.2500  0.1051  8 Pr 3.15-3.38

Results
* uncorrected energy: -4.20 eV per atom
* ΔE_f: -0.201 eV/atom
* calculated density: 7.3 g/cm3
* space group: P2_1/m (11)
* DOS at the Fermi energy: 1.08 states/eV per atom



Record 2
Material: PrInAg2
Method: DFT, PBE
State: relaxed

Cell: 3.8020 3.8020 6.7464 Å, 90.00 90.00 90.00°
Closest atoms and distances in Å follow each position.
Element x y z (fractional)
Pr  0.0000  0.0000  0.0000  8 Ag 3.24, 2 In 3.37
In  0.0000  0.0000  0.5000  8 Ag 3.11, 2 Pr 3.37
Ag  0.5000  0.5000  0.2674  4 In 3.11, 1 Ag 3.14, 4 Pr 3.24
Ag  0.5000  0.5000  0.7326  4 In 3.11, 1 Ag 3.14, 4 Pr 3.24

Results
* uncorrected energy: -3.47 eV per atom
* polymorph energy (0 for the lowest one): 0.77 eV per formula unit
* ΔE_f: -0.161 eV/atom
* calculated density: 8.0 g/cm3
* space group: P4/mmm (123)
* DOS at the Fermi energy: 0.55 states/eV per atom



Record 3
Material: PrIn6Ag6
Method: DFT, PBE
State: relaxed

Cell: 7.5315 7.5315 7.5315 Å, 134.19 99.33 98.10°
Closest atoms and distances in Å follow each position.
Element x y z (fractional)
Pr  0.0000  0.0000  0.0000  8 In 3.37-3.47, 12 Ag 3.70-3.77
In  0.1881  0.6881  0.5000  6 Ag 2.91-2.92
In  0.3452  0.0000  0.3452  6 Ag 3.02-3.13, 1 In 3.02, 1 Pr 3.37
In  0.3452  0.3452  0.0000  6 Ag 3.00-3.03, 3 In 3.06-3.32
In  0.6548  0.0000  0.6548  6 Ag 3.02-3.13, 1 In 3.02, 1 Pr 3.37
In  0.6548  0.6548  0.0000  6 Ag 3.00-3.03, 3 In 3.06-3.32
In  0.8119  0.3119  0.5000  6 Ag 2.91-2.92
Ag  0.0000  0.0000  0.5000  4 Ag 2.88-2.93, 6 In 2.91-3.02
Ag  0.0000  0.5000  0.0000  4 Ag 2.88-2.93, 6 In 2.91-3.02
Ag  0.2316  0.5000  0.7316  4 Ag 2.88, 6 In 2.92-3.13
Ag  0.5000  0.0000  0.0000  4 Ag 2.88-2.93, 6 In 2.91-3.02
Ag  0.5000  0.5000  0.5000  4 Ag 2.88-2.93, 6 In 2.91-3.02
Ag  0.7684  0.5000  0.2684  4 Ag 2.88, 6 In 2.92-3.13

Results
* uncorrected energy: -3.13 eV per atom
* ΔE_f: -0.183 eV/atom
* calculated density: 8.7 g/cm3
* space group: Immm (71)
* DOS at the Fermi energy: 0.31 states/eV per atom



Record 4
Material: PrIn3Ag8
Method: DFT, PBE
State: relaxed

Cell: 5.6068 5.6068 9.3366 Å, 90.00 90.00 120.00°
Closest atoms and distances in Å follow each position.
Element x y z (fractional)
Pr  0.0000  0.0000  0.0000  12 Ag 3.30-3.39, 4 In 3.46-3.47
In  0.0000  0.0000  0.3710  12 Ag 3.29-3.30, 3 In 3.45, 1 Pr 3.46
In  0.6667  0.3333  0.4985  12 Ag 3.28-3.32, 4 In 3.44-3.45
In  0.6667  0.3333  0.8670  12 Ag 3.29-3.38, 1 In 3.44, 3 Pr 3.47
Ag  0.1642  0.3283  0.6799  6 Ag 2.76-2.85
Ag  0.1642  0.8358  0.6799  6 Ag 2.76-2.85
Ag  0.3333  0.6667  0.4328  6 Ag 2.83
Ag  0.3333  0.6667  0.9295  6 Ag 2.85-2.91
Ag  0.5023  0.0045  0.1864  6 Ag 2.77-2.91
Ag  0.5023  0.4977  0.1864  6 Ag 2.77-2.91
Ag  0.6717  0.8358  0.6799  6 Ag 2.76-2.85
Ag  0.9955  0.4977  0.1864  6 Ag 2.77-2.91

Results
* uncorrected energy: -3.07 eV per atom
* ΔE_f: -0.087 eV/atom
* calculated density: 8.8 g/cm3
* space group: P3m1 (156)
* DOS at the Fermi energy: 0.24 states/eV per atom



Record 5
Material: Pr2In2Ag
Method: DFT, PBE
State: relaxed

Cell: 6.2010 6.2010 11.5196 Å, 114.75 114.75 45.83°
Closest atoms and distances in Å follow each position.
Element x y z (fractional)
Pr  0.0172  0.0172  0.3325  4 Ag 3.32-3.56, 7 In 3.34-3.53
Pr  0.1806  0.1806  0.1064  6 In 3.28-3.43, 2 Ag 3.52
Pr  0.8194  0.8194  0.8936  6 In 3.28-3.43, 2 Ag 3.52
Pr  0.9828  0.9828  0.6675  4 Ag 3.32-3.56, 7 In 3.34-3.53
In  0.3575  0.3575  0.4337  3 Ag 2.80-3.08, 1 In 2.90
In  0.4712  0.4712  0.1153  1 Ag 2.88, 1 In 3.01
In  0.5288  0.5288  0.8847  1 Ag 2.88, 1 In 3.01
In  0.6425  0.6425  0.5663  3 Ag 2.80-3.08, 1 In 2.90
Ag  0.2779  0.2779  0.6560  4 In 2.80-3.08
Ag  0.7221  0.7221  0.3440  4 In 2.80-3.08

Results
* uncorrected energy: -3.99 eV per atom
* ΔE_f: -0.416 eV/atom
* calculated density: 7.3 g/cm3
* space group: C2/m (12)
* DOS at the Fermi energy: 0.84 states/eV per atom



Record 6
Material: PrIn2Ag9
Method: DFT, PBE
State: relaxed

Cell: 9.7534 9.7534 9.7534 Å, 33.47 33.47 33.47°
Closest atoms and distances in Å follow each position.
Element x y z (fractional)
Pr  0.0000  0.0000  0.0000  6 Ag 3.24
In  0.1417  0.1417  0.1417  12 Ag 3.21-3.35, 3 In 3.52
In  0.8583  0.8583  0.8583  12 Ag 3.21-3.35, 3 In 3.52
Ag  0.0809  0.5872  0.5872  7 Ag 2.77-2.86
Ag  0.3337  0.3337  0.3337  6 Ag 2.85-2.86
Ag  0.4128  0.4128  0.9191  7 Ag 2.77-2.86
Ag  0.4128  0.9191  0.4128  7 Ag 2.77-2.86
Ag  0.5000  0.5000  0.5000  6 Ag 2.79
Ag  0.5872  0.0809  0.5872  7 Ag 2.77-2.86
Ag  0.5872  0.5872  0.0809  7 Ag 2.77-2.86
Ag  0.6663  0.6663  0.6663  6 Ag 2.85-2.86
Ag  0.9191  0.4128  0.4128  7 Ag 2.77-2.86

Results
* uncorrected energy: -3.06 eV per atom
* ΔE_f: -0.068 eV/atom
* calculated density: 8.9 g/cm3
* space group: R-3m (166)
* DOS at the Fermi energy: 0.34 states/eV per atom



Record 7
Material: Pr2InAg3
Method: DFT, PBE
State: relaxed

Cell: 9.9395 9.2969 6.0429 Å, 77.59 65.99 36.42°
Closest atoms and distances in Å follow each position.
Element x y z (fractional)
Pr  0.2431  0.7569  0.7569  10 Ag 3.32-3.36, 2 In 3.38, 2 Pr 3.38-3.57
Pr  0.2500  0.2500  0.2500  8 Ag 3.35-3.37, 4 In 3.35, 2 Pr 3.48
Pr  0.7500  0.7500  0.7500  8 Ag 3.35-3.37, 4 In 3.35, 2 Pr 3.48
Pr  0.7569  0.2431  0.2431  10 Ag 3.32-3.36, 2 In 3.38, 2 Pr 3.38-3.57
In  0.3336  0.3336  0.6664  3 Ag 2.86-2.88
In  0.6664  0.6664  0.3336  3 Ag 2.86-2.88
Ag  0.1666  0.1666  0.8334  2 Ag 2.87, 1 In 2.88
Ag  0.1676  0.6672  0.3328  2 Ag 2.85-2.87, 1 In 2.86
Ag  0.3328  0.8324  0.1676  2 Ag 2.85-2.87, 1 In 2.86
Ag  0.6672  0.1676  0.8324  2 Ag 2.85-2.87, 1 In 2.86
Ag  0.8324  0.3328  0.6672  2 Ag 2.85-2.87, 1 In 2.86
Ag  0.8334  0.8334  0.1666  2 Ag 2.87, 1 In 2.88

Results
* uncorrected energy: -3.79 eV per atom
* polymorph energy (0 for the lowest one): 0.00 eV per formula unit
* ΔE_f: -0.316 eV/atom
* calculated density: 8.1 g/cm3
* space group: Fmmm (69)
* DOS at the Fermi energy: 0.83 states/eV per atom



Record 8
Material: Pr3In3Ag2
Method: DFT, PBE
State: relaxed

Cell: 9.5407 9.5407 5.0465 Å, 105.25 105.25 28.62°
Closest atoms and distances in Å follow each position.
Element x y z (fractional)
Pr  0.0000  0.0000  0.0000  8 In 3.45-3.48, 4 Pr 3.56-3.57
Pr  0.1417  0.1417  0.6418  4 Ag 3.10-3.12, 6 In 3.45-3.46
Pr  0.8583  0.8583  0.3582  4 Ag 3.10-3.12, 6 In 3.45-3.46
In  0.3560  0.3560  0.8556  4 Ag 2.95-3.23
In  0.5000  0.5000  0.5000  8 Pr 3.45, 4 In 3.59-3.60
In  0.6440  0.6440  0.1444  4 Ag 2.95-3.23
Ag  0.2433  0.2433  0.2430  4 In 2.95-3.23, 4 Pr 3.10-3.12
Ag  0.7567  0.7567  0.7570  4 In 2.95-3.23, 4 Pr 3.10-3.12

Results
* uncorrected energy: -3.92 eV per atom
* polymorph energy (0 for the lowest one): 0.16 eV per formula unit
* ΔE_f: -0.388 eV/atom
* calculated density: 7.7 g/cm3
* space group: C2/m (12)
* DOS at the Fermi energy: 0.75 states/eV per atom



Record 9
Material: Pr3In2Ag2
Method: DFT, PBE
State: relaxed

Cell: 11.5343 11.5343 3.6028 Å, 90.00 90.00 156.66°
Closest atoms and distances in Å follow each position.
Element x y z (fractional)
Pr  0.0000  0.0000  0.0000  8 In 3.44, 4 Pr 3.60
Pr  0.1594  0.8406  0.0000  6 Ag 3.20-3.36, 4 In 3.47
Pr  0.8406  0.1594  0.0000  6 Ag 3.20-3.36, 4 In 3.47
In  0.4214  0.5786  0.5000  1 Ag 3.08, 4 Pr 3.44
In  0.5786  0.4214  0.5000  1 Ag 3.08, 4 Pr 3.44
Ag  0.2851  0.7149  0.5000  2 Ag 2.82, 1 In 3.08
Ag  0.7149  0.2851  0.5000  2 Ag 2.82, 1 In 3.08

Results
* uncorrected energy: -4.03 eV per atom
* ΔE_f: -0.385 eV/atom
* calculated density: 7.6 g/cm3
* space group: Cmmm (65)
* DOS at the Fermi energy: 0.99 states/eV per atom



Record 10
Material: Pr3In4Ag4
Method: DFT, PBE
State: relaxed

Cell: 9.0569 9.0569 9.0569 Å, 150.13 131.08 58.38°
Closest atoms and distances in Å follow each position.
Element x y z (fractional)
Pr  0.0000  0.0000  0.0000  6 Ag 3.30-3.39
Pr  0.3730  0.8730  0.5000  6 In 3.31-3.56, 6 Ag 3.39-3.42
Pr  0.6270  0.1270  0.5000  6 In 3.31-3.56, 6 Ag 3.39-3.42
In  0.0311  0.3308  0.7003  4 Ag 2.80-2.90, 1 In 3.00
In  0.3694  0.6692  0.7003  4 Ag 2.80-2.90, 1 In 3.00
In  0.6306  0.3308  0.2997  4 Ag 2.80-2.90, 1 In 3.00
In  0.9689  0.6692  0.2997  4 Ag 2.80-2.90, 1 In 3.00
Ag  0.2146  0.2146  0.0000  6 In 2.87-2.90
Ag  0.3105  0.5000  0.8105  2 In 2.80, 1 Ag 2.84
Ag  0.6895  0.5000  0.1895  2 In 2.80, 1 Ag 2.84
Ag  0.7854  0.7854  0.0000  6 In 2.87-2.90

Results
* uncorrected energy: -3.66 eV per atom
* polymorph energy (0 for the lowest one): 0.29 eV per formula unit
* ΔE_f: -0.323 eV/atom
* calculated density: 7.9 g/cm3
* space group: Immm (71)
* DOS at the Fermi energy: 0.71 states/eV per atom



Record 11
Material: PrIn2Ag2
Method: DFT, PBE
State: relaxed

Cell: 5.2568 5.2568 5.4263 Å, 105.87 105.87 57.73°
Closest atoms and distances in Å follow each position.
Element x y z (fractional)
Pr  0.0000  0.0000  0.0000  6 Ag 3.22-3.39, 6 In 3.41
In  0.2689  0.2689  0.6870  5 Ag 2.87-3.09, 2 In 3.20
In  0.7311  0.7311  0.3130  5 Ag 2.87-3.09, 2 In 3.20
Ag  0.3868  0.3868  0.2550  1 Ag 2.82, 5 In 2.87-3.09
Ag  0.6132  0.6132  0.7450  1 Ag 2.82, 5 In 2.87-3.09

Results
* uncorrected energy: -3.45 eV per atom
* polymorph energy (0 for the lowest one): 0.00 eV per formula unit
* ΔE_f: -0.257 eV/atom
* calculated density: 8.1 g/cm3
* space group: C2/m (12)
* DOS at the Fermi energy: 0.44 states/eV per atom



Record 12
Material: Pr6In5Ag
Method: DFT, PBE
State: relaxed

Cell: 8.6948 8.6948 7.8052 Å, 90.00 90.00 143.16°
Closest atoms and distances in Å follow each position.
Element x y z (fractional)
Pr  0.0000  0.0000  0.2445  6 In 3.33-3.41, 2 Ag 3.35
Pr  0.0000  0.0000  0.7555  6 In 3.33-3.41, 2 Ag 3.35
Pr  0.3358  0.6642  0.2467  1 Ag 3.32, 7 In 3.35-3.41
Pr  0.3358  0.6642  0.7533  1 Ag 3.32, 7 In 3.35-3.41
Pr  0.6642  0.3358  0.2467  1 Ag 3.32, 7 In 3.35-3.41
Pr  0.6642  0.3358  0.7533  1 Ag 3.32, 7 In 3.35-3.41
In  0.1655  0.8345  0.0000  8 Pr 3.33-3.41
In  0.1674  0.8326  0.5000  8 Pr 3.39-3.41
In  0.5000  0.5000  0.5000  8 Pr 3.35-3.40
In  0.8326  0.1674  0.5000  8 Pr 3.39-3.41
In  0.8345  0.1655  0.0000  8 Pr 3.33-3.41
Ag  0.5000  0.5000  0.0000  8 Pr 3.32-3.35

Results
* uncorrected energy: -4.21 eV per atom
* ΔE_f: -0.441 eV/atom
* calculated density: 7.2 g/cm3
* space group: Cmmm (65)
* DOS at the Fermi energy: 1.15 states/eV per atom